## Cs2GaIBr6 (PBE)

Data for a geometry-optimized Cs2GaIBr6 structure.

Uncorrected energy, eV per cell: -51.41

```
data_Cs2GaIBr6
_cell_length_a 7.997
_cell_length_b 7.997
_cell_length_c 12.219
_cell_angle_alpha 90.00
_cell_angle_beta 90.00
_cell_angle_gamma 90.00
_symmetry_space_group_name_H-M 'I 4/m m m'
_symmetry_Int_Tables_number 139
_symmetry_space_group_name_Hall '-I 4 2'
loop_
_atom_site_label
_atom_site_type_symbol
_atom_site_fract_x
_atom_site_fract_y
_atom_site_fract_z
Cs1 Cs 0.000 0.500 0.250
Ga1 Ga 0.000 0.000 0.000
I1 I 0.000 0.000 0.500
Br1 Br 0.000 0.000 0.209
Br2 Br 0.232 0.232 0.000
```